Entry from the Alexandria database: a geometry-optimized Zr4Pt2N structure (PBE).

ΔE to the lowest computed polymorph = 134 meV/atom
Raw total energy = -8.841 eV per atom
Uncorrected formation energy = -100.49 kJ/mol of atoms

abc: 7.571 7.571 7.571
angles: 146.33 146.33 48.35
Positions (direct):
1 Zr 0.000 0.500 0.500
2 Zr 0.179 0.179 0.000
3 Zr 0.500 0.000 0.500
4 Zr 0.821 0.821 0.000
5 Pt 0.365 0.365 0.000
6 Pt 0.635 0.635 0.000
7 N 0.000 0.000 0.000